{"formula": "Mg2CrPd5", "functional": "PBE-GGA", "state": "optimized geometry", "lattice": [[5.500, 0.000, 0.000], [0.000, 10.800, 0.000], [0.000, 0.000, 4.194]], "species": ["Mg", "Mg", "Mg", "Mg", "Cr", "Cr", "Pd", "Pd", "Pd", "Pd", "Pd", "Pd", "Pd", "Pd", "Pd", "Pd"], "frac_coords": [[0.180, 0.137, 0.000], [0.320, 0.637, 0.000], [0.680, 0.363, 0.000], [0.820, 0.863, 0.000], [0.000, 0.500, 0.500], [0.500, 0.000, 0.500], [0.000, 0.000, 0.500], [0.080, 0.743, 0.500], [0.188, 0.390, 0.000], [0.312, 0.890, 0.000], [0.420, 0.243, 0.500], [0.500, 0.500, 0.500], [0.580, 0.757, 0.500], [0.688, 0.110, 0.000], [0.812, 0.610, 0.000], [0.920, 0.257, 0.500]], "delta_e_f_ev_per_atom": -0.42, "e_tot_ev_per_atom": -5.2700, "magnetic_moment_mub_per_fu": 3.63}